# GGA-PBE La3MgAg, optimized geometry
# VASP energy: -3.56 eV/atom
data_La3MgAg
_chemical_formula_sum 'La3 Mg1 Ag1'
_space_group_name_H-M_alt 'P m -3 m'
_space_group_IT_number 221
_space_group_name_Hall '-P 4 2 3'
_cell_length_a 5.8556
_cell_length_b 5.8556
_cell_length_c 5.8556
_cell_angle_alpha 90.00
_cell_angle_beta 90.00
_cell_angle_gamma 90.00
loop_
_atom_site_label
_atom_site_fract_x
_atom_site_fract_y
_atom_site_fract_z
La1 0.0000 0.0000 0.5000
Mg1 0.5000 0.5000 0.5000
Ag1 0.0000 0.0000 0.0000


# GGA-PBE SrZn2HRh2, optimized geometry
# VASP energy: -4.08 eV/atom
data_SrZn2HRh2
_chemical_formula_sum 'Sr1 Zn2 H1 Rh2'
_space_group_name_H-M_alt 'P 4/m m m'
_space_group_IT_number 123
_space_group_name_Hall '-P 4 2'
_cell_length_a 4.1704
_cell_length_b 4.1704
_cell_length_c 5.5129
_cell_angle_alpha 90.00
_cell_angle_beta 90.00
_cell_angle_gamma 90.00
loop_
_atom_site_label
_atom_site_fract_x
_atom_site_fract_y
_atom_site_fract_z
Sr1 0.0000 0.0000 0.0000
Zn1 0.5000 0.5000 0.2338
H1 0.0000 0.0000 0.5000
Rh1 0.0000 0.5000 0.5000


# GGA-PBE Sr2TbAs3Pt12, optimized geometry
# VASP energy: -5.47 eV/atom
data_Sr2TbAs3Pt12
_chemical_formula_sum 'Sr6 Tb3 As9 Pt36'
_space_group_name_H-M_alt 'R -3 m'
_space_group_IT_number 166
_space_group_name_Hall '-R 3 2"'
_cell_length_a 8.5397
_cell_length_b 8.5397
_cell_length_c 18.5257
_cell_angle_alpha 90.00
_cell_angle_beta 90.00
_cell_angle_gamma 120.00
loop_
_atom_site_label
_atom_site_fract_x
_atom_site_fract_y
_atom_site_fract_z
Sr1 0.0000 0.0000 0.1011
Tb1 0.0000 0.0000 0.5000
As1 0.0000 0.5000 0.0000
Pt1 0.0202 0.5101 0.8701
Pt2 0.0329 0.5164 0.3651


# GGA-PBE Ti6Co3Ni, optimized geometry
# VASP energy: -7.73 eV/atom
data_Ti6Co3Ni
_chemical_formula_sum 'Ti12 Co6 Ni2'
_space_group_name_H-M_alt 'P 1 21/m 1'
_space_group_IT_number 11
_space_group_name_Hall '-P 2yb'
_cell_length_a 7.5427
_cell_length_b 4.1539
_cell_length_c 9.6823
_cell_angle_alpha 90.00
_cell_angle_beta 107.92
_cell_angle_gamma 90.00
loop_
_atom_site_label
_atom_site_fract_x
_atom_site_fract_y
_atom_site_fract_z
Ti1 0.0106 0.2500 0.1191
Ti2 0.1082 0.7500 0.6227
Ti3 0.1922 0.7500 0.3651
Ti4 0.3481 0.2500 0.0331
Ti5 0.4299 0.2500 0.7621
Ti6 0.4585 0.2500 0.3845
Co1 0.1070 0.2500 0.7902
Co2 0.2318 0.2500 0.5186
Co3 0.3266 0.7500 0.8708
Ni1 0.2249 0.7500 0.1309


# GGA-PBE CsGaHg2, optimized geometry
# VASP energy: -1.23 eV/atom
data_CsGaHg2
_chemical_formula_sum 'Cs3 Ga3 Hg6'
_space_group_name_H-M_alt 'R 3 m'
_space_group_IT_number 160
_space_group_name_Hall 'R 3 -2"'
_cell_length_a 4.9430
_cell_length_b 4.9430
_cell_length_c 20.9644
_cell_angle_alpha 90.00
_cell_angle_beta 90.00
_cell_angle_gamma 120.00
loop_
_atom_site_label
_atom_site_fract_x
_atom_site_fract_y
_atom_site_fract_z
Cs1 0.0000 0.0000 0.0000
Ga1 0.0000 0.0000 0.8191
Hg1 0.0000 0.0000 0.1999
Hg2 0.0000 0.0000 0.4604


# GGA-PBE AcPrGa3, optimized geometry
# VASP energy: -4.21 eV/atom
data_AcPrGa3
_chemical_formula_sum 'Ac4 Pr4 Ga12'
_space_group_name_H-M_alt 'C m c m'
_space_group_IT_number 63
_space_group_name_Hall '-C 2c 2'
_cell_length_a 4.6038
_cell_length_b 26.7067
_cell_length_c 4.3418
_cell_angle_alpha 90.00
_cell_angle_beta 90.00
_cell_angle_gamma 90.00
loop_
_atom_site_label
_atom_site_fract_x
_atom_site_fract_y
_atom_site_fract_z
Ac1 0.0000 0.0737 0.2500
Pr1 0.0000 0.2030 0.7500
Ga1 0.0000 0.3246 0.7500
Ga2 0.0000 0.3793 0.2500
Ga3 0.0000 0.4760 0.2500


# GGA-PBE SrP2Se, optimized geometry
# VASP energy: -4.01 eV/atom
data_SrP2Se
_chemical_formula_sum 'Sr4 P8 Se4'
_space_group_name_H-M_alt 'F -4 3 m'
_space_group_IT_number 216
_space_group_name_Hall 'F -4 2 3'
_cell_length_a 7.0823
_cell_length_b 7.0823
_cell_length_c 7.0823
_cell_angle_alpha 90.00
_cell_angle_beta 90.00
_cell_angle_gamma 90.00
loop_
_atom_site_label
_atom_site_fract_x
_atom_site_fract_y
_atom_site_fract_z
Sr1 0.0000 0.0000 0.0000
P1 0.0000 0.0000 0.5000
P2 0.2500 0.2500 0.2500
Se1 0.2500 0.2500 0.7500


# GGA-PBE TaAgTe2, optimized geometry
# VASP energy: -5.10 eV/atom
data_TaAgTe2
_chemical_formula_sum 'Ta1 Ag1 Te2'
_space_group_name_H-M_alt 'P 4 m m'
_space_group_IT_number 99
_space_group_name_Hall 'P 4 -2'
_cell_length_a 3.6992
_cell_length_b 3.6992
_cell_length_c 7.4270
_cell_angle_alpha 90.00
_cell_angle_beta 90.00
_cell_angle_gamma 90.00
loop_
_atom_site_label
_atom_site_fract_x
_atom_site_fract_y
_atom_site_fract_z
Ta1 0.0000 0.0000 0.0000
Ag1 0.5000 0.5000 0.7820
Te1 0.0000 0.0000 0.6287
Te2 0.5000 0.5000 0.1795